Entry 1:
Compound: Mn2TlRuBr
Source: Alexandria via LeMat-Bulk
Functional: PBE-GGA
Structure: optimized geometry

```
5
Lattice="4.8817 0.0000 0.0000 0.0000 5.1670 0.0000 0.0000 0.0000 4.8817" Properties=species:S:1:pos:R:3 pbc="T T T"
Mn 2.4409 0.0000 0.0000
Br 0.0000 2.5835 0.0000
Ru 0.0000 0.0000 0.0000
Mn 0.0000 0.0000 2.4409
Tl 2.4409 2.5835 2.4409
```

Values from the calculation:
ρ in Mg/m³: 6.68
V in Å³ per cell: 123
DFT total energy in eV for the cell shown: -27.9
Total magnetic moment in μB/atom: 1.774

=====

Entry 2:
Compound: Mn2SBr
Source: Alexandria via LeMat-Bulk
Functional: PBE-GGA
Structure: optimized geometry

```
8
Lattice="5.1258 0.0000 0.0000 0.0000 5.1258 0.0000 2.5629 2.5629 5.2563" Properties=species:S:1:pos:R:3 pbc="T T T"
Mn 3.6435 1.2815 1.3141
S 2.5629 5.1258 2.6282
Br 5.1258 2.5629 2.6282
Br 0.0000 0.0000 0.0000
S 2.5629 2.5629 0.0000
Mn 1.4823 3.8444 1.3141
Mn 6.4073 6.2064 3.9422
Mn 3.8444 4.0452 3.9422
```

Values from the calculation:
ρ in Mg/m³: 5.33
Offset from the most stable computed form in eV per atom: 0.000
V in Å³ per cell: 138
Total magnetic moment in μB/atom: 0.000

=====

Entry 3:
Compound: MnSBr3
Source: Alexandria via LeMat-Bulk
Functional: PBE-GGA
Structure: optimized geometry

```
5
Lattice="4.8422 0.0000 0.0000 0.0000 4.8422 0.0000 0.0000 0.0000 4.8422" Properties=species:S:1:pos:R:3 pbc="T T T"
Br 0.0000 2.4211 0.0000
Br 0.0000 0.0000 2.4211
Br 2.4211 0.0000 0.0000
Mn 0.0000 0.0000 0.0000
S 2.4211 2.4211 2.4211
```

Values from the calculation:
ρ in Mg/m³: 4.78
Offset from the most stable computed form in eV per atom: 0.101
V in Å³ per cell: 114
Total magnetic moment in μB/atom: 0.000

=====

Entry 4:
Compound: MnS2Br2
Source: Alexandria via LeMat-Bulk
Functional: PBE-GGA
Structure: optimized geometry

```
5
Lattice="3.6943 0.0000 0.0000 -1.8471 3.1959 -0.1489 0.0000 -0.2267 12.7094" Properties=species:S:1:pos:R:3 pbc="T T T"
Mn 0.0000 0.0000 0.0000
Br 1.8471 1.1395 1.5447
S 0.0000 -0.0686 7.3012
S 1.8471 3.0378 5.2593
Br 0.0000 1.8297 11.0158
```

Values from the calculation:
ρ in Mg/m³: 3.09
V in Å³ per cell: 150
DFT total energy in eV for the cell shown: -22.3
Total magnetic moment in μB/atom: 1.000

=====

Entry 5:
Compound: MnS4Br
Source: Alexandria via LeMat-Bulk
Functional: PBE-GGA
Structure: optimized geometry

```
12
Lattice="6.0258 0.0320 -1.3947 -2.3385 6.5528 -3.2527 0.1848 -0.8470 7.6555" Properties=species:S:1:pos:R:3 pbc="T T T"
S -1.9582 5.8904 -1.6831
Br 3.1027 3.8638 -0.2883
S 0.5180 4.9656 2.1871
S 0.0080 1.7270 0.1022
S 3.8638 4.0108 2.9061
S 2.9268 0.4062 5.7570
Br 0.7692 1.8740 3.2966
Mn 1.6889 -0.8321 7.2968
S 5.8301 -0.1526 4.6913
S 3.3539 0.7722 0.8212
S 0.9451 5.3316 -2.7488
Mn 2.1830 6.5700 -4.2886
```

Values from the calculation:
ρ in Mg/m³: 3.06
V in Å³ per cell: 285
DFT total energy in eV for the cell shown: -57.2
Total magnetic moment in μB/atom: 0.000

=====

Entry 6:
Compound: MnS5Br
Source: Alexandria via LeMat-Bulk
Functional: PBE-GGA
Structure: optimized geometry

```
7
Lattice="-2.1234 4.2630 -1.2336 -3.6871 -1.0082 -2.0154 -2.5843 -1.4774 11.5924" Properties=species:S:1:pos:R:3 pbc="T T T"
S -6.0974 2.7397 -0.9224
Mn -4.4053 2.2229 5.4544
S -3.3813 -0.4123 7.9057
S -1.8060 0.5723 1.4736
S -2.2723 -0.4924 -0.2292
S -4.8671 0.6377 7.0716
Br -5.5975 1.7010 3.2640
```

Values from the calculation:
ρ in Mg/m³: 2.11
V in Å³ per cell: 232
DFT total energy in eV for the cell shown: -32.2
Total magnetic moment in μB/atom: 0.570

=====

Entry 7:
Compound: Mn2SBr
Source: Alexandria via LeMat-Bulk
Functional: PBE-GGA
Structure: optimized geometry

```
4
Lattice="1.3864 -2.6897 2.8872 -2.2716 -0.7369 3.4335 -1.8973 -3.6937 0.4993" Properties=species:S:1:pos:R:3 pbc="T T T"
Mn -2.0868 -5.3401 5.1150
Mn -0.6956 -1.7800 1.7050
S 0.0000 0.0000 0.0000
Br -1.3912 -3.5601 3.4100
```

Values from the calculation:
ρ in Mg/m³: 7.12
Offset from the most stable computed form in eV per atom: 0.389
V in Å³ per cell: 52
Total magnetic moment in μB/atom: 0.000

=====

Entry 8:
Compound: MnSBr3
Source: Alexandria via LeMat-Bulk
Functional: PBE-GGA
Structure: optimized geometry

```
5
Lattice="-4.0947 2.5348 -2.0142 -0.0273 -3.2745 -4.0652 -3.2375 -3.1783 2.5818" Properties=species:S:1:pos:R:3 pbc="T T T"
Br -1.6188 -1.5891 1.2909
Br -0.0137 -1.6372 -2.0326
S 0.0000 0.0000 0.0000
Br -2.0473 1.2674 -1.0071
Mn -3.6798 -1.9590 -1.7488
```

Values from the calculation:
ρ in Mg/m³: 3.81
Offset from the most stable computed form in eV per atom: 0.000
V in Å³ per cell: 142
Total magnetic moment in μB/atom: 1.131

=====

Entry 9:
Compound: MnSbS2Br
Source: Alexandria via LeMat-Bulk
Functional: PBE-GGA
Structure: optimized geometry

```
10
Lattice="6.6704 0.0063 0.0232 5.5485 3.7025 0.0232 0.2678 0.0813 9.6226" Properties=species:S:1:pos:R:3 pbc="T T T"
S 11.5311 3.5001 7.3533
Br 7.8771 2.3910 5.4675
Br 4.6096 1.3992 4.2016
Sb 8.7036 2.6418 1.8477
Mn 0.0000 0.0000 0.0000
Mn 0.1339 0.0406 4.8113
Sb 3.7831 1.1483 7.8214
S 4.4359 1.3464 0.5152
S 8.0508 2.4437 9.1539
S 0.9556 0.2901 2.3158
```

Values from the calculation:
ρ in Mg/m³: 4.49
Offset from the most stable computed form in eV per atom: 0.000
V in Å³ per cell: 237
Total magnetic moment in μB/atom: 1.000

=====

Entry 10:
Compound: MnSbS2Br
Source: Alexandria via LeMat-Bulk
Functional: PBE-GGA
Structure: optimized geometry

```
5
Lattice="-1.7194 -0.2374 -4.8900 4.3420 -0.9709 -1.4796 -0.9377 -5.0709 0.5758" Properties=species:S:1:pos:R:3 pbc="T T T"
Sb 0.8425 -3.1396 -2.8969
S -0.4688 -2.5355 0.2879
S -0.8597 -0.1187 -2.4450
Br 0.0000 0.0000 0.0000
Mn 2.1710 -0.4855 -0.7398
```

Values from the calculation:
ρ in Mg/m³: 4.22
Offset from the most stable computed form in eV per atom: 1.421
V in Å³ per cell: 126
Total magnetic moment in μB/atom: 0.907

=====

Entry 11:
Compound: MnSeSBr2
Source: Alexandria via LeMat-Bulk
Functional: PBE-GGA
Structure: optimized geometry

```
5
Lattice="4.8620 0.0000 0.0000 0.0000 4.8620 0.0000 0.0000 0.0000 4.6182" Properties=species:S:1:pos:R:3 pbc="T T T"
Br 2.4310 0.0000 0.0000
Br 0.0000 2.4310 0.0000
Se 0.0000 0.0000 2.3091
S 2.4310 2.4310 2.3091
Mn 0.0000 0.0000 0.0000
```

Values from the calculation:
ρ in Mg/m³: 4.96
Offset from the most stable computed form in eV per atom: 0.039
V in Å³ per cell: 109
Total magnetic moment in μB/atom: 0.000

=====

Entry 12:
Compound: MnSe2SBr
Source: Alexandria via LeMat-Bulk
Functional: PBE-GGA
Structure: optimized geometry

```
5
Lattice="-3.5423 0.9858 -3.2263 -1.0415 -4.7692 -0.3137 -3.3159 0.4752 3.7858" Properties=species:S:1:pos:R:3 pbc="T T T"
Se -1.7711 0.4929 -1.6131
S 0.0000 0.0000 0.0000
Mn -3.9498 -1.6541 0.1229
Br -1.6579 0.2376 1.8929
Se -0.5208 -2.3846 -0.1568
```

Values from the calculation:
ρ in Mg/m³: 4.46
Offset from the most stable computed form in eV per atom: 0.000
V in Å³ per cell: 121
Total magnetic moment in μB/atom: 1.007

=====

Entry 13:
Compound: MnSeS2Br
Source: Alexandria via LeMat-Bulk
Functional: PBE-GGA
Structure: optimized geometry

```
5
Lattice="4.3182 0.0000 0.0000 0.0000 5.2531 0.0000 0.0000 0.0000 4.3182" Properties=species:S:1:pos:R:3 pbc="T T T"
Mn 0.0000 0.0000 0.0000
S 0.0000 0.0000 2.1591
Br 0.0000 2.6265 0.0000
S 2.1591 0.0000 0.0000
Se 2.1591 2.6265 2.1591
```

Values from the calculation:
ρ in Mg/m³: 4.71
V in Å³ per cell: 98
DFT total energy in eV for the cell shown: -20.6
Total magnetic moment in μB/atom: 0.000

=====

Entry 14:
Compound: MnSeSBr2
Source: Alexandria via LeMat-Bulk
Functional: PBE-GGA
Structure: optimized geometry

```
5
Lattice="5.0840 0.0000 0.0000 0.0000 5.0840 0.0000 0.0000 0.0000 5.0192" Properties=species:S:1:pos:R:3 pbc="T T T"
Mn 2.5420 2.5420 2.5096
Br 0.0000 2.5420 0.0000
Se 0.0000 0.0000 2.5096
Br 2.5420 0.0000 0.0000
S 0.0000 0.0000 0.0000
```

Values from the calculation:
ρ in Mg/m³: 4.17
Offset from the most stable computed form in eV per atom: 0.000
V in Å³ per cell: 130
Total magnetic moment in μB/atom: 1.053